Compound: MgVBiO5
Source: Alexandria via LeMat-Bulk
Functional: GGA+U
Structure: optimized geometry

Structure (POSCAR):
```
MgVBiO5
1.0
-3.8182 -3.5886 2.0286
0.7396 -5.9417 -9.1189
11.2883 -8.3991 6.3883
O Mg V Bi
40 8 8 8
Direct
0.8217 0.8035 0.8166
0.3899 0.9979 0.3689
0.6395 0.2037 0.8469
0.8267 0.9573 0.4524
0.1101 0.9979 0.8689
0.3217 0.1965 0.6834
0.8899 0.5021 0.3689
0.5879 0.2011 0.5169
0.8267 0.4573 0.0476
0.1783 0.6965 0.3166
0.1101 0.4979 0.6311
0.3267 0.0427 0.0476
0.6101 0.0021 0.6311
0.6395 0.7037 0.6531
0.6733 0.9573 0.9524
0.1733 0.0427 0.5476
0.4121 0.7989 0.4831
0.6783 0.3035 0.1834
0.1395 0.2963 0.8469
0.0879 0.7989 0.9831
0.3605 0.2963 0.3469
0.3217 0.6965 0.8166
0.9121 0.2011 0.0169
0.3267 0.5427 0.4524
0.8605 0.7037 0.1531
0.8217 0.3035 0.6834
0.6783 0.8035 0.3166
0.1395 0.7963 0.6531
0.9121 0.7011 0.4831
0.3605 0.7963 0.1531
0.0879 0.2989 0.5169
0.6101 0.5021 0.8689
0.5879 0.7011 0.9831
0.1733 0.5427 0.9524
0.8899 0.0021 0.1311
0.1783 0.1965 0.1834
0.4121 0.2989 0.0169
0.3899 0.4979 0.1311
0.6733 0.4573 0.5476
0.8605 0.2037 0.3469
0.5792 0.6405 0.5300
0.9208 0.6405 0.0300
0.0792 0.3595 0.9700
0.5792 0.1405 0.9700
0.4208 0.8595 0.0300
0.9208 0.1405 0.4700
0.4208 0.3595 0.4700
0.0792 0.8595 0.5300
0.0762 0.6134 0.4079
0.9238 0.3866 0.5921
0.4238 0.1134 0.5921
0.9238 0.8866 0.9079
0.4238 0.6134 0.9079
0.0762 0.1134 0.0921
0.5762 0.8866 0.4079
0.5762 0.3866 0.0921
0.5353 0.1541 0.2749
0.9647 0.6541 0.7251
0.5353 0.6541 0.2251
0.9647 0.1541 0.7749
0.4647 0.8459 0.7251
0.4647 0.3459 0.7749
0.0353 0.8459 0.2251
0.0353 0.3459 0.2749
```

Values from the calculation:
Density, g/cm³: 5.11
Total magnetization, μB per cell: 0.000
Electronic total energy, eV per atom: -6.65
Crystal system: orthorhombic